# 1
Compound: SmCuAs2O8
Source: Alexandria via LeMat-Bulk
Functional: PBE-GGA
Structure: relaxed

The structure belongs to space group I-4m2 (No. 119); the cell edges are 7.1178, 7.1178 and 6.3707 Å and the angles 90.00°, 90.00° and 90.00°. The asymmetric unit holds Sm at (0.0000, 0.0000, 0.0000), Cu at (0.0000, 0.5000, 0.7500), As at (0.0000, 0.0000, 0.5000), As at (0.0000, 0.5000, 0.2500), O at (0.0000, 0.1849, 0.6771) and O at (0.0000, 0.3217, 0.0695).

Its volume is 13.4 Å³ per atom. Its magnetic moment is 2.1 μB/f.u. The formation energy (no corrections) comes out at -1.375 eV per atom. As for the density of states at the Fermi level: 0.712 states/eV/atom.

# 2
Compound: Sr2CuAsO6
Source: Alexandria via LeMat-Bulk
Functional: PBE-GGA
Structure: relaxed

The structure belongs to space group R-3m (No. 166, hexagonal axes); the cell edges are 5.5344, 5.5344 and 28.4707 Å and the angles 90.00°, 90.00° and 120.00°. The asymmetric unit holds Sr at (0.0000, 0.0000, 0.1201), Sr at (0.0000, 0.0000, 0.2933), Cu at (0.0000, 0.0000, 0.0000), Cu at (0.0000, 0.0000, 0.5000), As at (0.0000, 0.0000, 0.4101), O at (0.0122, 0.5061, 0.2909) and O at (0.0291, 0.5145, 0.1206).

Its volume is 12.6 Å³ per atom. Its magnetic moment is 0.0 μB/f.u. The formation energy (no corrections) comes out at -1.736 eV per atom. As for the density of states at the Fermi level: 0.290 states/eV/atom.

# 3
Compound: SrCuAs2O7
Source: Alexandria via LeMat-Bulk
Functional: PBE-GGA
Structure: relaxed

The structure belongs to space group P2_1/c (No. 14); the cell edges are 5.7156, 8.3827 and 14.0454 Å and the angles 90.00°, 111.70° and 90.00°. The asymmetric unit holds Sr at (0.0074, 0.1629, 0.2166), Cu at (0.3249, 0.6395, 0.6185), As at (0.3298, 0.1855, 0.0054), As at (0.4049, 0.0295, 0.6582), O at (0.0975, 0.1629, 0.8900), O at (0.1599, 0.0499, 0.6969), O at (0.2754, 0.0942, 0.1058), O at (0.3124, 0.1051, 0.5312), O at (0.3259, 0.6270, 0.7647), O at (0.3606, 0.6503, 0.4816) and O at (0.4927, 0.1609, 0.3463).

Its volume is 14.2 Å³ per atom. Its magnetic moment is 1.0 μB/f.u. The formation energy (no corrections) comes out at -1.521 eV per atom.

# 4
Compound: TbCuAsO
Source: Alexandria via LeMat-Bulk
Functional: PBE-GGA
Structure: relaxed

The structure belongs to space group P4/nmm (No. 129, origin choice 2); the cell edges are 3.9096, 3.9096 and 8.7185 Å and the angles 90.00°, 90.00° and 90.00°. The asymmetric unit holds Tb at (0.2500, 0.2500, 0.1296), Cu at (0.2500, 0.7500, 0.5000), As at (0.2500, 0.2500, 0.6705) and O at (0.2500, 0.7500, 0.0000).

Its volume is 16.7 Å³ per atom. Its magnetic moment is 0.0 μB/f.u. The formation energy (no corrections) comes out at -1.727 eV per atom. As for the density of states at the Fermi level: 0.508 states/eV/atom.